DFT (GGA-PBE) results for an optimized crystal structure of CaBe2Os.

Properties
* final energy: -4.67 eV per atom
* SG: P4/mmm
* V: 13.9 A^3/atom
* ΔE to the lowest computed polymorph: 0.532 eV/atom

Cell: 4.2474 4.2474 3.0814 Å, 90.00 90.00 90.05°
With the nearest neighbours (Å) after each atom.
Atoms (fractional coordinates):
Be  0.0000  0.0000  0.0000  4 Os 2.62, 4 Ca 2.62
Be  0.5000  0.5000  0.0000  4 Ca 2.62, 4 Os 2.62
Ca  0.5000  0.0000  0.5000  8 Be 2.62
Os  0.0000  0.5000  0.5000  8 Be 2.62

=====

DFT (GGA-PBE) results for an optimized crystal structure of CaBe2Os.

Properties
* final energy: -5.16 eV per atom
* SG: P2/m
* V: 14.4 A^3/atom
* ΔE to the lowest computed polymorph: 0.039 eV/atom

Cell: 3.0796 3.0724 6.8262 Å, 63.33 90.00 90.00°
With the nearest neighbours (Å) after each atom.
Atoms (fractional coordinates):
Be  0.0000  0.0812  0.9184  1 Be 2.05
Be  0.0000  0.4188  0.5816  1 Be 2.05
Ca  0.5000  0.2500  0.2500  8 Be 2.97, 2 Os 3.05, 4 Ca 3.07-3.08
Os  0.5000  0.7500  0.7500  8 Be 2.40-2.41

=====

DFT (GGA-PBE) results for an optimized crystal structure of Ca2BeOs.

Properties
* final energy: -4.68 eV per atom
* SG: Cm
* V: 25.1 A^3/atom

Cell: 3.9640 3.9640 7.7021 Å, 75.32 75.32 59.99°
With the nearest neighbours (Å) after each atom.
Atoms (fractional coordinates):
Be  0.7918  0.7918  0.6249  3 Os 2.29
Ca  0.0412  0.0412  0.8801  3 Os 2.96, 3 Be 2.96
Ca  0.2086  0.2086  0.3699  3 Be 2.96, 3 Os 2.96
Os  0.4584  0.4584  0.6252  3 Be 2.29

=====

DFT (GGA-PBE) results for an optimized crystal structure of CaBeOs2.

Properties
* final energy: -6.36 eV per atom
* SG: P4/mmm
* V: 15.6 A^3/atom

Cell: 4.3304 3.7977 3.7977 Å, 90.00 90.00 90.00°
With the nearest neighbours (Å) after each atom.
Atoms (fractional coordinates):
Be  0.5000  0.5000  0.0000  4 Ca 2.69, 8 Os 2.88
Ca  0.5000  0.0000  0.5000  4 Be 2.69, 8 Os 2.88
Os  0.0000  0.0000  0.0000  4 Os 2.69, 4 Be 2.88, 4 Ca 2.88
Os  0.0000  0.5000  0.5000  4 Os 2.69, 4 Ca 2.88, 4 Be 2.88

=====

DFT (GGA-PBE) results for an optimized crystal structure of CaBeOs2.

Properties
* final energy: -6.66 eV per atom
* SG: P4/mmm
* V: 15.2 A^3/atom

Cell: 2.8755 2.8757 7.3672 Å, 90.00 90.00 90.00°
With the nearest neighbours (Å) after each atom.
Atoms (fractional coordinates):
Be  0.5000  0.5000  0.2500  8 Os 2.42
Ca  0.5000  0.5000  0.7500  4 Ca 2.88, 8 Os 3.13
Os  0.0000  0.0000  0.0728  4 Be 2.42, 1 Os 2.61
Os  0.0000  0.0000  0.4272  4 Be 2.42, 1 Os 2.61

=====

DFT (GGA-PBE) results for an optimized crystal structure of Ca2BeOs.

Properties
* final energy: -4.17 eV per atom
* SG: I-4m2
* V: 19.0 A^3/atom

Cell: 4.9648 4.9648 4.9648 Å, 126.70 126.70 78.75°
With the nearest neighbours (Å) after each atom.
Atoms (fractional coordinates):
Be  0.7500  0.2500  0.5000  4 Os 2.94, 8 Ca 2.94-3.15
Ca  0.0000  0.0000  0.0000  4 Ca 2.94, 4 Be 2.94, 4 Os 3.15
Ca  0.2500  0.7500  0.5000  4 Ca 2.94, 4 Os 2.94, 4 Be 3.15
Os  0.5000  0.5000  0.0000  4 Be 2.94, 8 Ca 2.94-3.15

=====

DFT (GGA-PBE) results for an optimized crystal structure of CaBe2Os.

Properties
* final energy: -5.20 eV per atom
* SG: Cm
* V: 16.7 A^3/atom
* ΔE to the lowest computed polymorph: 0.000 eV/atom

Cell: 3.8625 3.8625 5.6380 Å, 69.89 69.89 60.01°
With the nearest neighbours (Å) after each atom.
Atoms (fractional coordinates):
Be  0.0093  0.0093  0.9726  3 Be 2.23, 3 Os 2.29
Be  0.6830  0.6830  0.9517  3 Be 2.23, 3 Os 2.32
Ca  0.4987  0.4987  0.5027  1 Be 2.85, 4 Os 2.95-3.15
Os  0.3090  0.3090  0.0731  6 Be 2.29-2.32

=====

DFT (GGA-PBE) results for an optimized crystal structure of Ca2BeOs.

Properties
* final energy: -4.10 eV per atom
* SG: Cmmm
* V: 20.6 A^3/atom

Cell: 5.2288 5.2288 3.0087 Å, 89.97 89.97 90.35°
With the nearest neighbours (Å) after each atom.
Atoms (fractional coordinates):
Be  0.0000  0.5000  0.5000  2 Be 3.01, 8 Ca 3.02
Ca  0.0000  0.0000  0.0000  2 Ca 3.01, 4 Be 3.02, 4 Os 3.02
Ca  0.5000  0.5000  0.0000  2 Ca 3.01, 4 Os 3.02, 4 Be 3.02
Os  0.5000  0.0000  0.5000  2 Os 3.01, 8 Ca 3.02

=====

no.,Fermi-level density of states (states/eV per atom),ΔE_f (eV/atom)
1,0.5336,0.505
2,0.6828,0.012
3,0.2481,0.058
4,0.7195,0.686
5,1.0326,0.382
6,0.3921,0.572
7,0.2053,-0.027
8,0.8075,0.638